# 1
The following is a meta-GGA SCAN calculation of a crystal of K2CaAs relaxed with PBEsol, from the Alexandria database.

Cell: 5.077 5.589 8.072 Å, 110.21 90.00 90.00°
Fractional coordinates of all 4 atoms:
K  0.000  0.132  0.765
K  0.000  0.868  0.235
Ca  0.500  0.500  0.500
As  0.500  0.000  0.500

Results
Electronic total energy ... -12.00 eV/atom
Calculated volume ... 53.7 A^3/atom
Crystal system ... orthorhombic
D(E_F) ... 0.469 states/eV/atom


# 2
The following is a meta-GGA SCAN calculation of a crystal of K2CaAs relaxed with PBEsol, from the Alexandria database.

Cell: 3.919 4.402 10.143 Å, 102.53 101.14 90.00°
Fractional coordinates of all 4 atoms:
Ca  0.000  0.500  0.000
K  0.848  0.848  0.696
K  0.152  0.152  0.304
As  0.500  0.000  0.000

Results
Electronic total energy ... -12.16 eV/atom
Calculated volume ... 41.9 A^3/atom
Crystal system ... orthorhombic
D(E_F) ... 0.349 states/eV/atom


# 3
The following is a meta-GGA SCAN calculation of a crystal of CaLa3As relaxed with PBEsol, from the Alexandria database.

Cell: 5.789 5.789 5.789 Å, 90.00 90.00 90.00°
Fractional coordinates of all 5 atoms:
La  0.000  0.000  0.500
La  0.000  0.500  0.000
La  0.500  0.000  0.000
Ca  0.500  0.500  0.500
As  0.000  0.000  0.000

Results
Electronic total energy ... -32.35 eV/atom
Calculated volume ... 38.8 A^3/atom
Crystal system ... cubic
D(E_F) ... 1.578 states/eV/atom


# 4
The following is a meta-GGA SCAN calculation of a crystal of CaLa2As2 relaxed with PBEsol, from the Alexandria database.

Cell: 4.146 8.029 8.029 Å, 90.00 90.00 90.00°
Fractional coordinates of all 10 atoms:
Ca  0.000  0.500  0.500
Ca  0.000  0.000  0.000
As  0.000  0.345  0.845
As  0.000  0.655  0.155
As  0.000  0.845  0.655
As  0.000  0.155  0.345
La  0.500  0.849  0.349
La  0.500  0.349  0.151
La  0.500  0.151  0.651
La  0.500  0.651  0.849

Results
Calculated volume ... 26.7 A^3/atom
Crystal system ... tetragonal
Polymorph energy (0 for the lowest one) ... 0.000 eV per atom
D(E_F) ... 0.388 states/eV/atom


# 5
The following is a meta-GGA SCAN calculation of a crystal of CaLa2As2 relaxed with PBEsol, from the Alexandria database.

Cell: 4.495 4.495 7.499 Å, 107.44 107.44 90.00°
Fractional coordinates of all 5 atoms:
La  0.250  0.750  0.500
La  0.750  0.250  0.500
As  0.599  0.599  0.197
As  0.401  0.401  0.803
Ca  0.000  0.000  0.000

Results
Calculated volume ... 27.4 A^3/atom
Crystal system ... tetragonal
Polymorph energy (0 for the lowest one) ... 0.528 eV per atom
D(E_F) ... 0.606 states/eV/atom


# 6
The following is a meta-GGA SCAN calculation of a crystal of CaLaAs2 relaxed with PBEsol, from the Alexandria database.

Cell: 4.102 4.478 5.929 Å, 96.02 110.24 90.00°
Fractional coordinates of all 4 atoms:
Ca  0.495  0.631  0.991
As  0.230  0.601  0.460
As  0.024  0.150  0.049
La  0.750  0.119  0.501

Results
Electronic total energy ... -24.56 eV/atom
Calculated volume ... 25.4 A^3/atom
Crystal system ... monoclinic
D(E_F) ... 0.451 states/eV/atom


# 7
The following is a meta-GGA SCAN calculation of a crystal of Ca2LaAs relaxed with PBEsol, from the Alexandria database.

Cell: 4.618 4.618 6.182 Å, 111.93 111.93 90.00°
Fractional coordinates of all 4 atoms:
La  0.500  0.500  0.000
Ca  0.750  0.250  0.500
Ca  0.000  0.000  0.000
As  0.250  0.750  0.500

Results
Electronic total energy ... -21.07 eV/atom
Calculated volume ... 28.0 A^3/atom
Crystal system ... tetragonal
D(E_F) ... 0.420 states/eV/atom


# 8
The following is a meta-GGA SCAN calculation of a crystal of CaLaAsPt2 relaxed with PBEsol, from the Alexandria database.

Cell: 4.770 4.770 5.750 Å, 90.00 90.00 90.00°
Fractional coordinates of all 5 atoms:
As  0.500  0.500  0.500
Pt  0.000  0.500  0.000
Pt  0.500  0.000  0.000
Ca  0.000  0.000  0.000
La  0.000  0.000  0.500

Results
Electronic total energy ... -41.99 eV/atom
Calculated volume ... 26.2 A^3/atom
Crystal system ... tetragonal
D(E_F) ... 0.432 states/eV/atom